# GGA-PBE Al2SiAuSe, optimized geometry
# * formation energy from raw total energies: 0.839 eV/atom
data_Al2SiAuSe
_space_group_name_H-M_alt 'P 4/m m m'
_space_group_IT_number 123
_space_group_name_Hall '-P 4 2'
_cell_length_a 4.898
_cell_length_b 4.898
_cell_length_c 4.988
_cell_angle_alpha 90.00
_cell_angle_beta 90.00
_cell_angle_gamma 90.00
loop_
_atom_site_label
_atom_site_fract_x
_atom_site_fract_y
_atom_site_fract_z
Al1 0.000 0.500 0.000
Si1 0.000 0.000 0.500
Au1 0.500 0.500 0.500
Se1 0.500 0.500 0.000

# GGA-PBE Ti2IrPt2, optimized geometry
# * energy of formation from the pure elements: -1.07 eV per formula unit
data_Ti2IrPt2
_space_group_name_H-M_alt 'C m m m'
_space_group_IT_number 65
_space_group_name_Hall '-C 2 2'
_cell_length_a 4.587
_cell_length_b 7.584
_cell_length_c 5.033
_cell_angle_alpha 90.00
_cell_angle_beta 90.00
_cell_angle_gamma 90.00
loop_
_atom_site_label
_atom_site_fract_x
_atom_site_fract_y
_atom_site_fract_z
Ti1 0.000 0.000 0.239
Ir1 0.000 0.500 0.500
Pt1 0.000 0.331 0.000

# GGA-PBE La4OsSe2S, optimized geometry
# * formation energy from raw total energies: -1.524 eV/atom
data_La4OsSe2S
_space_group_name_H-M_alt 'P 1 2/m 1'
_space_group_IT_number 10
_space_group_name_Hall '-P 2y'
_cell_length_a 7.391
_cell_length_b 4.225
_cell_length_c 7.508
_cell_angle_alpha 90.00
_cell_angle_beta 107.69
_cell_angle_gamma 90.00
loop_
_atom_site_label
_atom_site_fract_x
_atom_site_fract_y
_atom_site_fract_z
La1 0.237 0.000 0.229
La2 0.240 0.500 0.774
Os1 0.000 0.500 0.000
Se1 0.000 0.000 0.500
Se2 0.500 0.500 0.500
S1 0.500 0.000 0.000

# GGA-PBE KCrPb2, optimized geometry
# * energy of formation from the pure elements: 0.71 eV per formula unit
data_KCrPb2
_space_group_name_H-M_alt 'P 4/m m m'
_space_group_IT_number 123
_space_group_name_Hall '-P 4 2'
_cell_length_a 3.617
_cell_length_b 3.617
_cell_length_c 8.774
_cell_angle_alpha 90.00
_cell_angle_beta 90.00
_cell_angle_gamma 90.00
loop_
_atom_site_label
_atom_site_fract_x
_atom_site_fract_y
_atom_site_fract_z
K1 0.000 0.000 0.000
Cr1 0.000 0.000 0.500
Pb1 0.500 0.500 0.309

# GGA-PBE Ca2YMgP, optimized geometry
# * energy of formation from the pure elements: -2.32 eV per formula unit
data_Ca2YMgP
_space_group_name_H-M_alt 'P 4/m m m'
_space_group_IT_number 123
_space_group_name_Hall '-P 4 2'
_cell_length_a 5.521
_cell_length_b 5.521
_cell_length_c 5.378
_cell_angle_alpha 90.00
_cell_angle_beta 90.00
_cell_angle_gamma 90.00
loop_
_atom_site_label
_atom_site_fract_x
_atom_site_fract_y
_atom_site_fract_z
Ca1 0.000 0.500 0.000
Y1 0.000 0.000 0.500
Mg1 0.500 0.500 0.500
P1 0.000 0.000 0.000

# GGA-PBE Ca2ScCu2, optimized geometry
# * energy of formation from the pure elements: 0.95 eV per formula unit
data_Ca2ScCu2
_space_group_name_H-M_alt 'P 4/m b m'
_space_group_IT_number 127
_space_group_name_Hall '-P 4 2ab'
_cell_length_a 8.343
_cell_length_b 8.343
_cell_length_c 3.250
_cell_angle_alpha 90.00
_cell_angle_beta 90.00
_cell_angle_gamma 90.00
loop_
_atom_site_label
_atom_site_fract_x
_atom_site_fract_y
_atom_site_fract_z
Ca1 0.137 0.363 0.000
Sc1 0.000 0.000 0.000
Cu1 0.164 0.664 0.500

# GGA-PBE CsRbAgI, optimized geometry
# * formation energy from raw total energies: -0.670 eV/atom
data_CsRbAgI
_space_group_name_H-M_alt 'F -4 3 m'
_space_group_IT_number 216
_space_group_name_Hall 'F -4 2 3'
_cell_length_a 9.061
_cell_length_b 9.061
_cell_length_c 9.061
_cell_angle_alpha 90.00
_cell_angle_beta 90.00
_cell_angle_gamma 90.00
loop_
_atom_site_label
_atom_site_fract_x
_atom_site_fract_y
_atom_site_fract_z
Cs1 0.000 0.000 0.000
Rb1 0.000 0.000 0.500
Ag1 0.250 0.250 0.250
I1 0.250 0.250 0.750

# GGA-PBE BaBeP2O, optimized geometry
# * formation energy from raw total energies: -0.376 eV/atom
data_BaBeP2O
_space_group_name_H-M_alt 'P 4/m m m'
_space_group_IT_number 123
_space_group_name_Hall '-P 4 2'
_cell_length_a 4.061
_cell_length_b 4.061
_cell_length_c 6.060
_cell_angle_alpha 90.00
_cell_angle_beta 90.00
_cell_angle_gamma 90.00
loop_
_atom_site_label
_atom_site_fract_x
_atom_site_fract_y
_atom_site_fract_z
Ba1 0.000 0.000 0.000
Be1 0.500 0.500 0.500
P1 0.000 0.500 0.500
O1 0.500 0.500 0.000

no.,theoretical density (g/cm3)
1,4.97
2,12.86
3,6.96
4,7.31
5,2.27
6,3.70
7,4.05
8,3.73